The following is a DFT calculation (PBE) of a relaxed structure of BaP2Rh.

abc: 4.409 4.409 8.671
angles: 90.00 90.00 90.00
Element x y z (fractional)
Ba1 0.000 0.000 0.000
Ba2 0.500 0.500 0.500
P1 0.000 0.000 0.500
P2 0.000 0.500 0.750
P3 0.500 0.000 0.250
P4 0.500 0.500 0.000
Rh1 0.000 0.500 0.250
Rh2 0.500 0.000 0.750

Output
The energy of formation comes out at 0.339 eV per atom. Its symmetry is No. 119.

The following is a DFT calculation (PBE) of a relaxed structure of Y4TmAgS8.

abc: 7.999 7.999 7.999
angles: 60.26 60.26 60.26
Element x y z (fractional)
Y1 0.000 0.000 0.000
Y2 0.137 0.620 0.620
Y3 0.620 0.137 0.620
Y4 0.620 0.620 0.137
Tm1 0.620 0.620 0.620
Ag1 0.249 0.249 0.249
S1 0.382 0.382 0.382
S2 0.384 0.384 0.851
S3 0.384 0.851 0.384
S4 0.401 0.863 0.863
S5 0.851 0.384 0.384
S6 0.863 0.401 0.863
S7 0.863 0.863 0.401
S8 0.866 0.866 0.866

Output
The uncorrected formation energy is -1835 meV/atom. Its symmetry is No. 160.

The following is a DFT calculation (PBE) of a relaxed structure of Ta2Ge2Pt.

abc: 7.034 7.034 3.611
angles: 90.00 90.00 90.00
Element x y z (fractional)
Ta1 0.139 0.361 0.000
Ta2 0.361 0.861 0.000
Ta3 0.639 0.139 0.000
Ta4 0.861 0.639 0.000
Ge1 0.163 0.663 0.500
Ge2 0.337 0.163 0.500
Ge3 0.663 0.837 0.500
Ge4 0.837 0.337 0.500
Pt1 0.000 0.000 0.000
Pt2 0.500 0.500 0.000

Output
The energy of formation comes out at 0.034 eV per atom. The distance to the lowest polymorph of the same formula comes out at 215 meV/atom. Its symmetry is No. 127.

The following is a DFT calculation (PBE) of a relaxed structure of Np2Sb2Ru3.

abc: 7.243 7.243 7.243
angles: 109.47 109.47 109.47
Element x y z (fractional)
Np1 0.000 0.470 0.500
Np2 0.030 0.030 0.030
Np3 0.470 0.500 0.000
Np4 0.500 0.000 0.470
Sb1 0.000 0.888 0.500
Sb2 0.500 0.000 0.888
Sb3 0.612 0.612 0.612
Sb4 0.888 0.500 0.000
Ru1 0.007 0.257 0.750
Ru2 0.243 0.250 0.493
Ru3 0.250 0.493 0.243
Ru4 0.257 0.750 0.007
Ru5 0.493 0.243 0.250
Ru6 0.750 0.007 0.257

Output
The uncorrected formation energy is -131 meV/atom. Its symmetry is No. 199.

The following is a DFT calculation (PBE) of a relaxed structure of SmAg4Au.

abc: 5.546 5.546 5.546
angles: 60.00 60.00 60.00
Element x y z (fractional)
Sm1 0.000 0.000 0.000
Ag1 0.376 0.376 0.376
Ag2 0.376 0.376 0.873
Ag3 0.376 0.873 0.376
Ag4 0.873 0.376 0.376
Au1 0.750 0.750 0.750

Output
The energy of formation comes out at -0.205 eV per atom. Its symmetry is No. 216.

The following is a DFT calculation (PBE) of a relaxed structure of ReSnPtRh2.

abc: 4.816 4.816 4.893
angles: 90.00 90.00 90.00
Element x y z (fractional)
Re1 0.000 0.000 0.000
Sn1 0.500 0.500 0.000
Pt1 0.500 0.500 0.500
Rh1 0.000 0.500 0.500
Rh2 0.500 0.000 0.500

Output
The energy of formation comes out at 1.773 eV per atom. Its symmetry is No. 123.